(1)
{"formula": "TcSn3F", "functional": "GGA-PBE", "state": "optimized geometry", "dft_energy_ev_per_atom": -5.292, "n_ef_per_ev_atom": 0.00, "polymorph_energy_mev_per_atom": 0, "space_group": "Pm-3m", "raw_formation_energy_ev_per_atom": -0.442, "lattice_angstrom": [[-2.315, 4.085, -2.011], [-1.171, -2.714, -4.165], [-4.400, -1.427, 2.166]], "species": ["F", "Sn", "Sn", "Sn", "Tc"], "fractional_positions": [[0.500, 0.500, 0.500], [0.000, 0.500, 0.000], [0.000, 0.000, 0.500], [0.500, 0.000, 0.000], [0.000, 0.000, 0.000]]}

---

(2)
{"formula": "Na2Zn3CdSn4", "functional": "GGA-PBE", "state": "optimized geometry", "dft_energy_ev_per_atom": -2.409, "n_ef_per_ev_atom": 0.19, "space_group": "P-4m2", "lattice_angstrom": [[-1.470, 2.069, -3.775], [-2.126, -3.818, -1.265], [-9.955, 3.606, 5.852]], "species": ["Na", "Na", "Zn", "Zn", "Zn", "Cd", "Sn", "Sn", "Sn", "Sn"], "fractional_positions": [[0.500, 0.000, 0.254], [0.000, 0.500, 0.746], [0.000, 0.000, 0.500], [0.500, 0.000, 0.859], [0.000, 0.500, 0.141], [0.500, 0.500, 0.500], [0.500, 0.500, 0.000], [0.000, 0.000, 0.000], [0.500, 0.000, 0.643], [0.000, 0.500, 0.357]]}